Record 1
Entry from the Alexandria database: Si4TeSe after structural relaxation (GGA-PBE).

Geometry as POSCAR:
```
Si4TeSe
1.0
0.000 3.807 3.807
3.807 0.000 3.807
3.807 3.807 0.000
Si Te Se
4 1 1
direct
0.878 0.374 0.374
0.374 0.374 0.878
0.374 0.878 0.374
0.374 0.374 0.374
0.750 0.750 0.750
0.000 0.000 0.000
```

Computed properties:
Space-group type: No. 216
E_form (uncorrected) (eV per formula unit): 3.8

---

Record 2
Entry from the Alexandria database: SiTeSe2 after structural relaxation (GGA-PBE).

Geometry as POSCAR:
```
SiTeSe2
1.0
3.636 0.000 0.000
0.000 3.635 0.000
0.000 0.000 7.680
Se Si Te
2 1 1
direct
0.000 0.000 0.031
0.500 0.500 0.397
0.000 0.000 0.323
0.500 0.500 0.749
```

Computed properties:
Space-group type: No. 99
Distance to the lowest polymorph of the same formula (meV/atom): 361
E_form (uncorrected) (eV per formula unit): 0.7